Here is Nd2TlH after structural relaxation from Alexandria. Energies are from PBE.

* energy: -17.0 eV/f.u.
* D(E_F): 10.46 states/eV/cell

Cell and atoms, written as CIF:
```
data_Nd2TlH
_chemical_formula_sum 'Nd8 Tl4 H4'
_cell_length_a 5.6629
_cell_length_b 12.4312
_cell_length_c 5.6061
_cell_angle_alpha 90.00
_cell_angle_beta 90.00
_cell_angle_gamma 90.00
_symmetry_space_group_name_H-M 'C c c m'
_symmetry_Int_Tables_number 66
_symmetry_space_group_name_Hall '-C 2 2c'
loop_
_atom_site_label
_atom_site_fract_x
_atom_site_fract_y
_atom_site_fract_z
Nd1 0.2489 0.0985 0.0000
Tl1 0.2500 0.2500 0.5000
H1 0.0000 0.0000 0.2500
```

=====

Here is KAlTl after structural relaxation from Alexandria. Energies are from PBE.

* energy: -7.1 eV/f.u.
* D(E_F): 5.38 states/eV/cell
* formation energy from the elements: 32 meV/atom

Cell and atoms, written as CIF:
```
data_KAlTl
_chemical_formula_sum 'K6 Al6 Tl6'
_cell_length_a 4.6261
_cell_length_b 4.6261
_cell_length_c 36.5668
_cell_angle_alpha 90.00
_cell_angle_beta 90.00
_cell_angle_gamma 120.00
_symmetry_space_group_name_H-M 'R -3 m'
_symmetry_Int_Tables_number 166
_symmetry_space_group_name_Hall '-R 3 2"'
loop_
_atom_site_label
_atom_site_fract_x
_atom_site_fract_y
_atom_site_fract_z
K1 0.0000 0.0000 0.2192
Al1 0.0000 0.0000 0.3346
Tl1 0.0000 0.0000 0.0483
```

=====

Here is CaPrMgAg after structural relaxation from Alexandria. Energies are from PBE.

* energy: -11.9 eV/f.u.
* D(E_F): 13.32 states/eV/cell
* formation energy from the elements: -164 meV/atom

Cell and atoms, written as CIF:
```
data_CaPrMgAg
_chemical_formula_sum 'Ca4 Pr4 Mg4 Ag4'
_cell_length_a 7.6527
_cell_length_b 7.6527
_cell_length_c 7.6527
_cell_angle_alpha 90.00
_cell_angle_beta 90.00
_cell_angle_gamma 90.00
_symmetry_space_group_name_H-M 'F -4 3 m'
_symmetry_Int_Tables_number 216
_symmetry_space_group_name_Hall 'F -4 2 3'
loop_
_atom_site_label
_atom_site_fract_x
_atom_site_fract_y
_atom_site_fract_z
Ca1 0.0000 0.0000 0.0000
Pr1 0.0000 0.0000 0.5000
Mg1 0.2500 0.2500 0.7500
Ag1 0.2500 0.2500 0.2500
```

=====

Here is Sr2TeF after structural relaxation from Alexandria. Energies are from PBE.

* E_form (uncorrected): -1709 meV/atom
* energy: -15.2 eV/f.u.
* D(E_F): 15.08 states/eV/cell

Cell and atoms, written as CIF:
```
data_Sr2TeF
_chemical_formula_sum 'Sr8 Te4 F4'
_cell_length_a 7.6950
_cell_length_b 7.6950
_cell_length_c 7.6950
_cell_angle_alpha 90.00
_cell_angle_beta 90.00
_cell_angle_gamma 90.00
_symmetry_space_group_name_H-M 'F m -3 m'
_symmetry_Int_Tables_number 225
_symmetry_space_group_name_Hall '-F 4 2 3'
loop_
_atom_site_label
_atom_site_fract_x
_atom_site_fract_y
_atom_site_fract_z
Sr1 0.2500 0.2500 0.2500
Te1 0.0000 0.0000 0.0000
F1 0.0000 0.0000 0.5000
```

=====

Here is Na2LaNi2 after structural relaxation from Alexandria. Energies are from PBE.

* energy: -18.6 eV/f.u.
* D(E_F): 6.03 states/eV/cell
* formation energy from the elements: 99 meV/atom

Cell and atoms, written as CIF:
```
data_Na2LaNi2
_chemical_formula_sum 'Na4 La2 Ni4'
_cell_length_a 4.0338
_cell_length_b 4.0338
_cell_length_c 13.5916
_cell_angle_alpha 90.00
_cell_angle_beta 90.00
_cell_angle_gamma 90.00
_symmetry_space_group_name_H-M 'I 4/m m m'
_symmetry_Int_Tables_number 139
_symmetry_space_group_name_Hall '-I 4 2'
loop_
_atom_site_label
_atom_site_fract_x
_atom_site_fract_y
_atom_site_fract_z
Na1 0.0000 0.5000 0.2500
La1 0.0000 0.0000 0.0000
Ni1 0.0000 0.0000 0.4160
```

=====

Here is RbHgH2Pd after structural relaxation from Alexandria. Energies are from PBE.

* energy: -14.0 eV/f.u.
* D(E_F): 4.55 states/eV/cell

Cell and atoms, written as CIF:
```
data_RbHgH2Pd
_chemical_formula_sum 'Rb4 Hg4 H8 Pd4'
_cell_length_a 4.1065
_cell_length_b 12.9625
_cell_length_c 7.3557
_cell_angle_alpha 90.00
_cell_angle_beta 90.00
_cell_angle_gamma 90.00
_symmetry_space_group_name_H-M 'C m c m'
_symmetry_Int_Tables_number 63
_symmetry_space_group_name_Hall '-C 2c 2'
loop_
_atom_site_label
_atom_site_fract_x
_atom_site_fract_y
_atom_site_fract_z
Rb1 0.0000 0.2309 0.2500
Hg1 0.0000 0.0262 0.7500
H1 0.0000 0.3725 0.5360
Pd1 0.0000 0.5000 0.0000
```

=====

Here is Nb3CrRe after structural relaxation from Alexandria. Energies are from PBE.

* energy: -46.5 eV/f.u.
* D(E_F): 7.69 states/eV/cell
* formation energy from the elements: 1151 meV/atom

Cell and atoms, written as CIF:
```
data_Nb3CrRe
_chemical_formula_sum 'Nb3 Cr1 Re1'
_cell_length_a 4.5260
_cell_length_b 4.5260
_cell_length_c 4.5260
_cell_angle_alpha 90.00
_cell_angle_beta 90.00
_cell_angle_gamma 90.00
_symmetry_space_group_name_H-M 'P m -3 m'
_symmetry_Int_Tables_number 221
_symmetry_space_group_name_Hall '-P 4 2 3'
loop_
_atom_site_label
_atom_site_fract_x
_atom_site_fract_y
_atom_site_fract_z
Nb1 0.0000 0.0000 0.5000
Cr1 0.0000 0.0000 0.0000
Re1 0.5000 0.5000 0.5000
```

=====

Here is CuAs2Br after structural relaxation from Alexandria. Energies are from PBE.

* E_form (uncorrected): 85 meV/atom
* energy: -14.7 eV/f.u.
* D(E_F): 3.13 states/eV/cell

Cell and atoms, written as CIF:
```
data_CuAs2Br
_chemical_formula_sum 'Cu1 As2 Br1'
_cell_length_a 3.4562
_cell_length_b 3.4562
_cell_length_c 8.1631
_cell_angle_alpha 90.00
_cell_angle_beta 90.00
_cell_angle_gamma 90.00
_symmetry_space_group_name_H-M 'P 4 m m'
_symmetry_Int_Tables_number 99
_symmetry_space_group_name_Hall 'P 4 -2'
loop_
_atom_site_label
_atom_site_fract_x
_atom_site_fract_y
_atom_site_fract_z
Cu1 0.0000 0.0000 0.0000
As1 0.0000 0.0000 0.2915
As2 0.5000 0.5000 0.4231
Br1 0.5000 0.5000 0.8935
```

=====

Q: What is the formula in the fourth record?
A: Sr2TeF